Entry 1:
A relaxed LiMn2Ir crystal, computed with PBEsol.

Cell: 2.5659 3.8133 4.6181 Å, 90.00 90.00 90.00°
Last column: nearest neighbours and their distance in Å.
Space group Pmmm (No. 47)
One atom of each set of equivalent atoms:
Li: 0.0000 0.0000 0.0000 (multiplicity 1)  2 Ir 2.31, 8 Mn 2.51, 2 Li 2.57
Mn: 0.5000 0.5000 0.2207 (multiplicity 2)  1 Mn 2.04
Ir: 0.0000 0.0000 0.5000 (multiplicity 1)  2 Li 2.31, 2 Ir 2.57

Properties
Density   11.357 g cm⁻³
DOS at the Fermi energy   3.79 states/eV/cell
Crystal system   orthorhombic



Entry 2:
A relaxed Li2MnIr crystal, computed with PBEsol.

Cell: 2.7593 4.2360 4.4482 Å, 90.00 90.00 90.00°
Last column: nearest neighbours and their distance in Å.
Space group Pmmm (No. 47)
One atom of each set of equivalent atoms:
Li: 0.0000 0.0000 0.0000 (multiplicity 1)  6 Li 2.53-2.76, 4 Ir 2.62
Li: 0.5000 0.5000 0.0000 (multiplicity 1)  6 Li 2.53-2.76, 4 Mn 2.62
Mn: 0.0000 0.5000 0.5000 (multiplicity 1)  4 Ir 2.53, 4 Li 2.62, 2 Mn 2.76
Ir: 0.5000 0.0000 0.5000 (multiplicity 1)  4 Mn 2.53, 4 Li 2.62, 2 Ir 2.76

Properties
Density   8.337 g cm⁻³
DOS at the Fermi energy   2.98 states/eV/cell
Crystal system   orthorhombic



Entry 3:
A relaxed LiMnIr2 crystal, computed with PBEsol.

Cell: 5.3069 8.4780 2.6461 Å, 90.00 116.57 90.00°
Last column: nearest neighbours and their distance in Å.
Space group C2/m (No. 12)
One atom of each set of equivalent atoms:
Li: 0.0000 0.0000 0.0000 (multiplicity 2)  4 Ir 2.54, 2 Li 2.65, 4 Mn 2.65-2.79
Mn: 0.0000 0.5000 0.0000 (multiplicity 2)  4 Ir 2.54, 2 Mn 2.65, 4 Li 2.65-2.79
Ir: 0.2500 0.2500 0.5000 (multiplicity 4)  2 Mn 2.54, 2 Li 2.54, 6 Ir 2.65-2.79

Properties
Density   13.920 g cm⁻³
DOS at the Fermi energy   7.16 states/eV/cell
Crystal system   monoclinic



Entry 4:
A relaxed LiMnIr2 crystal, computed with PBEsol.

Cell: 5.8046 5.8046 5.8046 Å, 90.00 90.00 90.00°
Last column: nearest neighbours and their distance in Å.
Space group Fm-3m (No. 225)
One atom of each set of equivalent atoms:
Li: 0.0000 0.0000 0.0000 (multiplicity 4)  8 Ir 2.51
Mn: 0.0000 0.0000 0.5000 (multiplicity 4)  8 Ir 2.51
Ir: 0.2500 0.2500 0.2500 (multiplicity 8)  4 Mn 2.51, 4 Li 2.51

Properties
Density   15.157 g cm⁻³
DOS at the Fermi energy   6.07 states/eV/cell
Crystal system   cubic



Entry 5:
A relaxed LiMnIr2 crystal, computed with PBEsol.

Cell: 4.0882 4.0882 2.9601 Å, 90.00 90.00 90.00°
Last column: nearest neighbours and their distance in Å.
Space group P4/mmm (No. 123)
One atom of each set of equivalent atoms:
Li: 0.0000 0.0000 0.0000 (multiplicity 1)  8 Ir 2.52
Mn: 0.5000 0.5000 0.0000 (multiplicity 1)  8 Ir 2.52
Ir: 0.0000 0.5000 0.5000 (multiplicity 2)  4 Mn 2.52, 4 Li 2.52

Properties
Density   14.980 g cm⁻³
DOS at the Fermi energy   2.38 states/eV/cell
Crystal system   tetragonal



Entry 6:
A relaxed LiTa2MnIr crystal, computed with PBEsol.

Cell: 4.3559 4.3559 3.6875 Å, 90.00 90.00 90.00°
Last column: nearest neighbours and their distance in Å.
Space group P4/mmm (No. 123)
One atom of each set of equivalent atoms:
Li: 0.0000 0.0000 0.0000 (multiplicity 1)  2 Mn 1.84
Ta: 0.0000 0.5000 0.0000 (multiplicity 2)  2 Li 2.18
Mn: 0.0000 0.0000 0.5000 (multiplicity 1)  2 Li 1.84
Ir: 0.5000 0.5000 0.5000 (multiplicity 1)  8 Ta 2.85, 4 Mn 3.08

Properties
Density   14.619 g cm⁻³
DOS at the Fermi energy   5.14 states/eV/cell
Crystal system   tetragonal



Entry 7:
A relaxed LiMo2Ir crystal, computed with PBEsol.

Cell: 4.6063 4.6063 2.6936 Å, 90.00 90.00 90.00°
Last column: nearest neighbours and their distance in Å.
Space group P4/mmm (No. 123)
One atom of each set of equivalent atoms:
Li: 0.0000 0.0000 0.0000 (multiplicity 1)  8 Mo 2.67, 2 Li 2.69
Mo: 0.0000 0.5000 0.5000 (multiplicity 2)  4 Li 2.67, 4 Ir 2.67, 2 Mo 2.69
Ir: 0.5000 0.5000 0.0000 (multiplicity 1)  8 Mo 2.67, 2 Ir 2.69

Properties
Density   11.361 g cm⁻³
DOS at the Fermi energy   3.87 states/eV/cell
Crystal system   tetragonal



Entry 8:
A relaxed LiMoIr2 crystal, computed with PBEsol.

Cell: 3.9910 3.9910 6.8410 Å, 90.00 90.00 90.00°
Last column: nearest neighbours and their distance in Å.
Space group I4/mmm (No. 139)
One atom of each set of equivalent atoms:
Li: 0.0000 0.0000 0.0000 (multiplicity 2)  8 Ir 2.63, 4 Mo 2.82
Mo: 0.0000 0.0000 0.5000 (multiplicity 2)  8 Ir 2.63, 4 Li 2.82
Ir: 0.0000 0.5000 0.2500 (multiplicity 4)  4 Mo 2.63, 4 Li 2.63, 4 Ir 2.82

Properties
Density   14.852 g cm⁻³
DOS at the Fermi energy   3.51 states/eV/cell
Crystal system   tetragonal



Entry 9:
A relaxed LiMoIr2 crystal, computed with PBEsol.

Cell: 2.8875 2.8875 6.2836 Å, 90.00 90.00 90.00°
Last column: nearest neighbours and their distance in Å.
Space group P4/mmm (No. 123)
One atom of each set of equivalent atoms:
Li: 0.0000 0.0000 0.0000 (multiplicity 1)  8 Ir 2.49
Mo: 0.0000 0.0000 0.5000 (multiplicity 1)  8 Ir 2.66, 4 Mo 2.89
Ir: 0.5000 0.5000 0.2275 (multiplicity 2)  4 Li 2.49, 4 Mo 2.66

Properties
Density   15.446 g cm⁻³
DOS at the Fermi energy   2.40 states/eV/cell
Crystal system   tetragonal



Entry 10:
A relaxed LiMoIr2 crystal, computed with PBEsol.

Cell: 8.4885 2.7033 4.8217 Å, 90.00 96.23 90.00°
Last column: nearest neighbours and their distance in Å.
Space group C2/m (No. 12)
One atom of each set of equivalent atoms:
Li: 0.0000 0.0000 0.0000 (multiplicity 2)  6 Ir 2.51-2.68, 2 Li 2.70, 4 Mo 2.76
Mo: 0.0000 0.5000 0.5000 (multiplicity 2)  6 Ir 2.60-2.70, 2 Mo 2.70, 4 Li 2.76
Ir: 0.2483 0.0000 0.7614 (multiplicity 4)  3 Li 2.51-2.68, 3 Mo 2.60-2.70, 4 Ir 2.67-2.70

Properties
Density   14.714 g cm⁻³
DOS at the Fermi energy   5.89 states/eV/cell
Crystal system   monoclinic



Entry 11:
A relaxed Li2MoIr crystal, computed with PBEsol.

Cell: 5.1718 9.4895 2.7017 Å, 90.00 120.19 90.00°
Last column: nearest neighbours and their distance in Å.
Space group C2/m (No. 12)
One atom of each set of equivalent atoms:
Li: 0.2500 0.2500 0.0000 (multiplicity 4)  6 Li 2.59-2.70, 2 Mo 2.71, 2 Ir 2.71
Mo: 0.0000 0.0000 0.5000 (multiplicity 2)  4 Ir 2.59-2.64, 2 Mo 2.70, 4 Li 2.71
Ir: 0.0000 0.5000 0.5000 (multiplicity 2)  4 Mo 2.59-2.64, 2 Ir 2.70, 4 Li 2.71

Properties
Density   8.752 g cm⁻³
DOS at the Fermi energy   8.60 states/eV/cell
Crystal system   monoclinic



Entry 12:
A relaxed Li2MoIr crystal, computed with PBEsol.

Cell: 3.5465 3.5465 19.2222 Å, 90.00 90.00 90.00°
Last column: nearest neighbours and their distance in Å.
Space group I-42d (No. 122)
One atom of each set of equivalent atoms:
Li: 0.2368 0.2500 0.1250 (multiplicity 8)  4 Li 2.44-2.57, 2 Ir 2.70, 2 Mo 2.73
Mo: 0.0000 0.0000 0.5000 (multiplicity 4)  4 Ir 2.51, 4 Li 2.73
Ir: 0.0000 0.0000 0.0000 (multiplicity 4)  4 Mo 2.51, 4 Li 2.70

Properties
Density   8.298 g cm⁻³
DOS at the Fermi energy   8.98 states/eV/cell
Crystal system   tetragonal



Entry 13:
A relaxed LiMoIr2 crystal, computed with PBEsol.

Cell: 2.7705 4.5172 9.3133 Å, 90.00 90.00 90.00°
Last column: nearest neighbours and their distance in Å.
Space group Cmm2 (No. 35)
One atom of each set of equivalent atoms:
Li: 0.0000 0.0000 0.0000 (multiplicity 2)  2 Ir 2.57, 6 Li 2.65-2.77
Mo: 0.0000 0.5000 0.7284 (multiplicity 2)  2 Ir 2.63, 6 Mo 2.65-2.77, 2 Li 2.88
Ir: 0.0000 0.0000 0.4882 (multiplicity 2)  2 Mo 2.63, 8 Ir 2.65-2.77
Ir: 0.0000 0.5000 0.2326 (multiplicity 2)  2 Li 2.57, 8 Ir 2.65-2.77

Properties
Density   13.885 g cm⁻³
DOS at the Fermi energy   7.58 states/eV/cell
Crystal system   orthorhombic



Entry 14:
A relaxed LiMoIr2 crystal, computed with PBEsol.

Cell: 2.6810 3.9815 5.1961 Å, 90.00 104.14 90.00°
Last column: nearest neighbours and their distance in Å.
Space group P2/m (No. 10)
One atom of each set of equivalent atoms:
Li: 0.0000 0.0000 0.0000 (multiplicity 1)  4 Ir 2.43, 2 Mo 2.60, 2 Li 2.68
Mo: 0.0000 0.0000 0.5000 (multiplicity 1)  2 Li 2.60, 2 Mo 2.68, 8 Ir 2.73-2.77
Ir: 0.3901 0.5000 0.2346 (multiplicity 2)  2 Li 2.43, 4 Ir 2.64-2.68

Properties
Density   15.046 g cm⁻³
DOS at the Fermi energy   3.48 states/eV/cell
Crystal system   monoclinic



no.,formation energy (meV/atom)
1,160
2,42
3,36
4,-118
5,-60
6,935
7,335
8,-170
9,-177
10,-18
11,169
12,345
13,236
14,-73